A relaxed structure of InH2Br4. Source: Alexandria via LeMat-Bulk, functional PBE-GGA.

Properties
Magnetization (μB per atom): 0.00
E_tot (eV per atom): -2.697
N(E_F) (states/eV per cell): 1.53

```
InH2Br4
1.0
4.606 0.000 0.000
2.146 6.358 0.000
0.631 -0.171 7.949
In H Br
1 2 4
Direct
0.000 0.000 0.000
0.196 0.540 0.246
0.804 0.460 0.754
0.062 0.750 0.333
0.374 0.237 0.121
0.626 0.763 0.879
0.938 0.250 0.667
```



A relaxed structure of InHBr2. Source: Alexandria via LeMat-Bulk, functional PBE-GGA.

Properties
Magnetization (μB per atom): 0.00
E_tot (eV per atom): -2.421
N(E_F) (states/eV per cell): 0.00

```
InHBr2
1.0
6.875 0.000 0.000
0.000 6.875 0.000
0.000 0.000 8.487
In H Br
4 4 8
Direct
0.000 0.000 0.000
0.000 0.500 0.250
0.500 0.000 0.750
0.500 0.500 0.500
0.000 0.000 0.500
0.000 0.500 0.750
0.500 0.000 0.250
0.500 0.500 0.000
0.120 0.250 0.625
0.250 0.620 0.875
0.250 0.880 0.375
0.380 0.250 0.125
0.620 0.750 0.125
0.750 0.120 0.375
0.750 0.380 0.875
0.880 0.750 0.625
```



A relaxed structure of In2H4Br3. Source: Alexandria via LeMat-Bulk, functional PBE-GGA.

Properties
Magnetization (μB per atom): 0.00
E_tot (eV per atom): -2.849
N(E_F) (states/eV per cell): 2.10

```
In2H4Br3
1.0
5.795 -2.757 0.000
5.795 2.757 0.000
-1.931 0.000 6.773
In H Br
2 4 3
Direct
0.225 0.225 0.258
0.775 0.775 0.742
0.009 0.009 0.556
0.347 0.347 0.156
0.653 0.653 0.844
0.991 0.991 0.444
0.000 0.000 0.000
0.328 0.328 0.673
0.672 0.672 0.327
```